No. 1
Density functional theory data (PBE-GGA) for crystalline TiBeOs3 at its relaxed geometry.

The density of states at the Fermi level comes out at 1.0443 states/eV per atom. As for the calculated total energy: -6.9969 eV per atom. The formation energy from the elements is 2.065 eV per atom. The value obtained for the total magnetization is 0.9 μB/cell.

The structure belongs to space group Pm-3m (No. 221); the cell edges are 4.521, 4.521 and 4.521 Å and the angles 90.00°, 90.00° and 90.00°. The distinct sites, in fractional coordinates, are Ti at (0.000, 0.000, 0.000), Be at (0.500, 0.500, 0.500) and Os at (0.000, 0.000, 0.500).

---

No. 2
Density functional theory data (PBE-GGA) for crystalline InMoPb2 at its relaxed geometry.

The density of states at the Fermi level comes out at 0.7732 states/eV per atom. As for the calculated total energy: -4.5387 eV per atom. The formation energy from the elements is 0.708 eV per atom. The value obtained for the total magnetization is 2.0 μB/cell.

The structure belongs to space group Pmmm (No. 47); the cell edges are 3.455, 5.333 and 5.334 Å and the angles 90.00°, 90.00° and 90.00°. The distinct sites, in fractional coordinates, are In at (0.000, 0.000, 0.000), Mo at (0.500, 0.000, 0.500), Pb at (0.000, 0.500, 0.500) and Pb at (0.500, 0.500, 0.000).

---

No. 3
Density functional theory data (PBE-GGA) for crystalline KTcHg2 at its relaxed geometry.

The density of states at the Fermi level comes out at 0.6394 states/eV per atom. As for the calculated total energy: -2.4883 eV per atom. The formation energy from the elements is 0.528 eV per atom. The value obtained for the total magnetization is 2.3 μB/cell.

The structure belongs to space group Cm (No. 8); the cell edges are 16.508, 2.945 and 4.719 Å and the angles 90.00°, 106.22° and 90.00°. The distinct sites, in fractional coordinates, are K at (0.000, 0.000, 0.000), Tc at (0.297, 0.000, 0.803), Hg at (0.145, 0.500, 0.642) and Hg at (0.325, 0.500, 0.330).

---

No. 4
Density functional theory data (PBE-GGA) for crystalline La2CoAgPb at its relaxed geometry.

The density of states at the Fermi level comes out at 0.8397 states/eV per atom. As for the calculated total energy: -4.9097 eV per atom. The formation energy from the elements is -0.206 eV per atom. The value obtained for the total magnetization is 0.0 μB/cell.

The structure belongs to space group P4/mmm (No. 123); the cell edges are 5.164, 5.164 and 5.045 Å and the angles 90.00°, 90.00° and 90.00°. The distinct sites, in fractional coordinates, are La at (0.000, 0.500, 0.000), Co at (0.000, 0.000, 0.000), Ag at (0.000, 0.000, 0.500) and Pb at (0.500, 0.500, 0.500).